Nd12Ho2Sc | PBE-GGA | relaxed

```
30
Lattice="6.6436 -1.5468 0.0000 -1.5468 6.6436 0.0000 0.0000 0.0000 24.8693" Properties=species:S:1:pos:R:3 pbc="T T T"
Ho -0.7734 3.3218 6.6829
Sc 3.3218 -0.7734 24.8568
Nd 4.5890 0.4938 21.7431
Nd 2.5484 2.5484 8.0351
Ho -0.7734 3.3218 18.2914
Nd 2.5484 2.5484 4.8875
Nd 4.6030 0.5079 3.1263
Nd 1.4752 1.0732 13.9401
Nd 4.0237 3.6216 10.9292
Nd 0.0000 0.0000 16.8342
Nd 0.6016 4.6968 10.2828
Nd 4.4952 0.4001 10.2828
Nd 2.5484 2.5484 19.9818
Nd 0.4938 4.5890 3.1263
Nd 1.2867 1.2617 1.7742
Nd 1.0732 1.4752 10.9292
Nd 4.6968 0.6016 14.5865
Nd 0.0000 0.0000 19.9818
Nd 3.8101 3.8351 1.7742
Sc -0.7734 3.3218 0.0125
Ho 3.3218 -0.7734 6.5779
Nd 3.6216 4.0237 13.9401
Nd 0.4001 4.4952 14.5865
Nd 0.0000 0.0000 8.0351
Nd 0.0000 0.0000 4.8875
Nd 2.5484 2.5484 16.8342
Nd 0.5079 4.6030 21.7431
Nd 1.2617 1.2867 23.0951
Ho 3.3218 -0.7734 18.1864
Nd 3.8351 3.8101 23.0951
```

Summary:
- calculated formation energy (eV/atom) = 0.1656
- V (A^3/atom) = 34.61
- crystal system = orthorhombic
- size of the total moment (μB per formula unit) = 0.0
- DOS(E_F) (states/eV/f.u.) = 22.373
- SG = Cmme, No. 67

NdHo3Sc2Se6 | PBE-GGA | relaxed

```
12
Lattice="-1.5774 -6.1907 2.8476 6.5165 2.5044 0.4294 -3.1669 4.2148 4.5551" Properties=species:S:1:pos:R:3 pbc="T T T"
Ho 3.6692 3.2541 3.0846
Se -0.9386 -1.4358 2.4049
Ho -1.8970 -2.7256 4.7475
Sc 3.7938 -0.4205 1.2429
Nd 0.0000 0.0000 0.0000
Se -0.1417 -1.1000 6.2794
Sc 1.1453 -3.2658 2.0341
Ho 0.8861 0.2642 3.9160
Se 2.7107 1.9643 5.4272
Se 1.9139 1.6285 1.5527
Se -1.0680 2.2027 4.3456
Se 2.8401 -1.6742 3.4865
```

Summary:
- V (A^3/atom) = 23.15
- crystal system = monoclinic
- size of the total moment (μB per formula unit) = 0.0
- formation energy from raw total energies (kcal/mol of atoms) = -38.854
- DOS(E_F) (states/eV/f.u.) = 5.799
- SG = C2/m, No. 12

Nd4HoSc3Se8 | PBE-GGA | relaxed

```
16
Lattice="-1.0518 7.0799 3.6693 -1.7824 -3.9264 7.0651 6.9470 -1.6082 -3.7214" Properties=species:S:1:pos:R:3 pbc="T T T"
Nd 0.0000 0.0000 0.0000
Se 1.2732 1.6399 6.0164
Nd 3.4735 -0.8041 -1.8607
Sc 2.0564 0.7727 3.5065
Se 5.2570 -2.6869 2.3707
Nd 2.9476 2.7359 -0.0261
Se -1.1441 4.2322 4.6422
Se 2.8396 -0.0946 0.9965
Nd -0.5259 3.5400 1.8347
Se 2.2607 3.4440 2.8185
Se -0.6287 0.7625 2.8440
Sc 2.5823 -2.7673 1.6718
Se 4.7415 0.7828 4.1690
Ho -0.8912 -1.9632 3.5325
Sc -1.4171 1.5767 5.3672
Se 1.8522 -1.8987 4.1944
```

Summary:
- V (A^3/atom) = 23.99
- crystal system = trigonal
- size of the total moment (μB per formula unit) = 0.0
- formation energy from raw total energies (kcal/mol of atoms) = -39.624
- DOS(E_F) (states/eV/f.u.) = 9.838
- SG = R-3m, No. 166

Nd3HoSc2Se6 | PBE-GGA | relaxed

```
12
Lattice="-5.2538 -1.2034 4.4674 2.4355 -5.1663 -4.0479 5.4536 0.4624 4.7095" Properties=species:S:1:pos:R:3 pbc="T T T"
Sc -0.1291 -3.8446 -1.2078
Se -0.7741 -0.7861 2.6246
Se 0.7806 -3.7664 5.4155
Nd -1.2778 -1.6160 5.4387
Se 1.8547 -2.1410 -0.2865
Se -0.8502 -4.5602 1.3546
Nd 1.3177 -2.9537 2.5645
Nd 3.9131 -4.2913 -0.3098
Se 3.4855 -1.3471 3.7744
Ho 0.0000 0.0000 0.0000
Se 3.4094 -5.1212 2.5043
Sc -2.6892 -2.5252 1.6272
```

Summary:
- V (A^3/atom) = 24.11
- crystal system = monoclinic
- size of the total moment (μB per formula unit) = 0.0
- formation energy from raw total energies (kcal/mol of atoms) = -39.896
- DOS(E_F) (states/eV/f.u.) = 5.774
- SG = C2/m, No. 12

Nd2HoScSe6 | PBE-GGA | relaxed

```
10
Lattice="7.2524 -0.0003 -0.0004 3.6259 6.2808 -0.0006 3.6253 2.0933 6.3799" Properties=species:S:1:pos:R:3 pbc="T T T"
Ho 10.8774 6.2807 3.4546
Se 5.8463 6.5239 1.6402
Se 8.4738 5.9494 4.8823
Se 5.1135 4.3651 4.8829
Sc 3.6262 2.0927 0.2295
Se 9.9790 4.2348 1.6405
Nd 7.2520 4.1871 2.7608
Nd 3.6255 2.0934 5.9780
Se 5.9306 1.8017 1.6405
Se 8.1671 2.2463 4.8826
```

Summary:
- V (A^3/atom) = 29.06
- crystal system = trigonal
- size of the total moment (μB per formula unit) = 0.0
- formation energy from raw total energies (kcal/mol of atoms) = -41.262
- DOS(E_F) (states/eV/f.u.) = 0.000
- SG = R3, No. 146

Nd2Ho3ScSe6 | PBE-GGA | relaxed

```
12
Lattice="-0.7696 1.5886 -3.6656 2.4512 -7.0159 -3.5552 -8.3389 -2.0712 3.1110" Properties=species:S:1:pos:R:3 pbc="T T T"
Nd -4.5483 -4.7186 -3.3479
Nd -2.1090 -2.7799 -0.7620
Sc -0.3848 0.7943 -1.8328
Ho 0.8408 -2.7136 -3.6104
Se -4.8973 -3.7235 -0.5855
Se -3.0147 -0.1059 -1.6708
Ho -0.9579 -6.3023 -2.5302
Se -3.6426 -7.3925 -2.4391
Se -1.7600 -3.7749 -3.5243
Se 1.7754 -5.3507 -2.6917
Se -8.4327 -2.1477 -1.4181
Ho -5.6994 -1.1961 -1.5796
```

Summary:
- V (A^3/atom) = 24.21
- crystal system = monoclinic
- size of the total moment (μB per formula unit) = 0.0
- formation energy from raw total energies (kcal/mol of atoms) = -39.802
- DOS(E_F) (states/eV/f.u.) = 6.146
- SG = C2/m, No. 12

Nd4SmHo2Sc | PBE-GGA | relaxed

```
8
Lattice="-3.0357 -3.9164 3.1082 4.7063 -0.9783 3.3639 2.4580 4.5245 8.1016" Properties=species:S:1:pos:R:3 pbc="T T T"
Ho -0.2888 0.3040 5.6049
Nd 5.3986 2.5914 8.5380
Ho 2.4580 4.5245 8.1016
Nd 2.5932 -1.4851 6.1654
Nd -1.2700 -2.9616 6.0357
Nd 1.5355 1.1149 8.4083
Sm 3.2933 2.0771 11.3377
Sc 3.5821 1.7731 5.7328
```

Summary:
- calculated formation energy (eV/atom) = 0.1040
- V (A^3/atom) = 32.61
- crystal system = orthorhombic
- size of the total moment (μB per formula unit) = 0.0
- DOS(E_F) (states/eV/f.u.) = 14.428
- SG = Pmmm, No. 47

Nd2Sm5HoSc | PBE-GGA | relaxed

```
18
Lattice="8.4614 0.0000 0.0000 0.0000 8.4614 0.0000 -4.2307 -4.2307 8.3327" Properties=species:S:1:pos:R:3 pbc="T T T"
Sm 4.2307 4.2307 0.0000
Ho 0.0000 0.0000 4.1664
Ho 4.2307 4.2307 4.1664
Sm 0.0000 0.0000 0.0000
Sm 1.8283 6.0590 2.4235
Nd 7.4163 5.2758 0.0000
Sc 4.2307 0.0000 4.1664
Sm 1.8283 2.4024 5.9092
Nd 5.2758 1.0451 0.0000
Sm 2.4024 1.8283 2.4235
Sm 6.6331 2.4024 2.4235
Nd 3.1856 7.4163 0.0000
Sc 0.0000 4.2307 4.1664
Sm 2.4024 -1.8283 5.9092
Sm 6.0590 6.6331 2.4235
Sm -2.4024 1.8283 5.9092
Sm -1.8283 -2.4024 5.9092
Nd 1.0451 3.1856 0.0000
```

Summary:
- calculated formation energy (eV/atom) = 0.2787
- V (A^3/atom) = 33.14
- crystal system = tetragonal
- size of the total moment (μB per formula unit) = 0.0
- DOS(E_F) (states/eV/f.u.) = 12.967
- SG = I4/mcm, No. 140

NdSmHo2Sc2 | PBE-GGA | relaxed

```
12
Lattice="-2.3338 -2.2067 -0.9552 -0.7754 -1.7753 5.9958 -12.3822 12.2218 2.0175" Properties=species:S:1:pos:R:3 pbc="T T T"
Sm -6.1911 6.1109 1.0087
Ho -5.1902 2.1525 1.8306
Ho -10.3012 6.0873 5.2275
Sc -2.0353 1.2891 1.9946
Nd 0.0000 0.0000 0.0000
Sc -9.3416 6.4149 2.1261
Sc -11.1223 9.1574 6.0187
Sc -6.1498 1.8248 4.9320
Ho -2.9921 0.9677 5.0749
Ho -10.1654 9.4788 2.9384
Nd -7.7457 4.1199 3.5290
Sm -1.5546 -1.9910 2.5203
```

Summary:
- calculated formation energy (eV/atom) = 0.2801
- V (A^3/atom) = 30.82
- crystal system = orthorhombic
- size of the total moment (μB per formula unit) = 0.0
- DOS(E_F) (states/eV/f.u.) = 9.874
- SG = Pnnm, No. 58

Nd6SmHoSc2 | PBE-GGA | relaxed

```
20
Lattice="9.1638 -1.9969 -2.0724 0.7332 8.5454 -1.9578 0.7332 -2.2732 8.4669" Properties=species:S:1:pos:R:3 pbc="T T T"
Nd 8.5425 -0.1118 5.8241
Ho 3.0241 1.6418 3.6953
Nd 5.7075 5.1522 -1.7226
Nd 6.6695 -2.5474 3.2965
Nd 1.1256 -0.9139 6.1210
Nd 3.9606 6.8227 1.1403
Sm 7.6060 -3.4426 6.5963
Nd 9.5045 5.1892 -1.6843
Nd 2.0876 4.3871 -1.3873
Nd 6.5342 1.3876 3.6743
Nd 8.6778 -0.3436 1.8777
Sc 9.8090 2.3025 3.4345
Sc 5.4030 -0.0700 0.9724
Sc 0.8211 1.9728 1.0022
Nd 4.9226 -0.8770 6.1594
Nd 1.9523 4.6188 2.5590
Sm 3.0241 7.7179 -2.1596
Ho 7.6060 2.6335 0.7414
Sc 5.2271 4.3453 3.4644
Nd 4.0959 2.8876 0.7624
```

Summary:
- calculated formation energy (eV/atom) = 0.1238
- V (A^3/atom) = 32.70
- crystal system = monoclinic
- size of the total moment (μB per formula unit) = 0.0
- DOS(E_F) (states/eV/f.u.) = 15.736
- SG = C2/c, No. 15

Nd2Sm3Ho6Sc | PBE-GGA | relaxed

```
12
Lattice="-5.3500 -0.3042 -3.0291 3.4006 -5.0748 0.7564 -4.8627 -0.4200 10.7116" Properties=species:S:1:pos:R:3 pbc="T T T"
Sm -3.4060 -2.8995 4.2195
Sm -6.3233 -1.3091 2.9575
Nd 0.4797 -3.4824 -0.5072
Sc 0.0000 0.0000 0.0000
Ho -0.2442 -2.2237 2.7203
Sm -0.4887 -4.4899 5.4815
Ho -4.1362 -1.6481 7.4845
Ho -3.6779 -5.1509 6.9688
Nd -2.4290 -1.8966 -1.7655
Ho -3.1342 -0.6481 1.4701
Ho -6.5679 -3.5753 5.7186
Ho -2.6758 -4.1509 0.9544
```

Summary:
- calculated formation energy (eV/atom) = 0.0248
- V (A^3/atom) = 31.70
- crystal system = monoclinic
- size of the total moment (μB per formula unit) = 0.0
- DOS(E_F) (states/eV/f.u.) = 15.037
- SG = C2/m, No. 12

NdSmHo2Sc | PBE-GGA | relaxed

```
10
Lattice="7.1000 0.0000 0.0000 0.0000 8.2356 0.0000 0.0000 -4.1178 5.6594" Properties=species:S:1:pos:R:3 pbc="T T T"
Nd 1.7750 0.0000 3.0346
Sm 5.3250 0.0000 3.0124
Ho 3.5500 2.4974 0.0000
Ho 0.0000 2.4974 0.0000
Ho 0.0000 5.7382 0.0000
Ho 3.5500 5.7382 0.0000
Nd 5.3250 4.1178 2.6248
Sm 1.7750 4.1178 2.6470
Sc 1.7750 0.0000 0.0240
Sc 5.3250 4.1178 5.6354
```

Summary:
- calculated formation energy (eV/atom) = 0.3200
- V (A^3/atom) = 33.09
- crystal system = orthorhombic
- size of the total moment (μB per formula unit) = 0.0
- DOS(E_F) (states/eV/f.u.) = 5.947
- SG = Cmcm, No. 63

NdSm4Ho2Sc | PBE-GGA | relaxed

```
8
Lattice="5.0474 0.0000 0.0000 0.0001 11.1646 -1.3197 0.0000 2.7684 4.2077" Properties=species:S:1:pos:R:3 pbc="T T T"
Sc 0.0000 6.9664 1.4440
Ho 0.0000 2.7684 4.2077
Sm 0.0001 10.4329 2.1762
Sm 2.5237 9.0507 0.0697
Ho 2.5237 1.3842 2.1038
Sm 2.5237 4.8823 2.8182
Nd 2.5237 5.5823 -0.6599
Sm 5.0474 3.5000 0.7117
```

Summary:
- calculated formation energy (eV/atom) = 0.0285
- V (A^3/atom) = 31.94
- crystal system = orthorhombic
- size of the total moment (μB per formula unit) = 0.0
- DOS(E_F) (states/eV/f.u.) = 11.337
- SG = Pmmm, No. 47

Nd6Sm2Ho3Sc | PBE-GGA | relaxed

```
12
Lattice="-1.5602 5.4215 2.6932 -3.3920 -5.1323 1.1108 8.4788 -2.6439 7.8179" Properties=species:S:1:pos:R:3 pbc="T T T"
Nd 0.5895 -2.3289 2.6337
Nd 2.3331 -3.5061 8.4664
Nd -1.6061 -0.4438 4.8189
Ho 1.1523 -4.6977 5.2831
Sc 0.0000 0.0000 0.0000
Nd 2.9372 -0.0258 8.9882
Nd 5.1327 -1.9109 6.8031
Ho 2.3744 2.3430 6.3388
Nd 1.1936 1.1514 3.1555
Sm -2.7816 -1.6158 1.6380
Ho 1.7633 -1.1773 5.8110
Sm -2.1705 1.9050 2.1659
```

Summary:
- calculated formation energy (eV/atom) = 0.0239
- V (A^3/atom) = 32.85
- crystal system = monoclinic
- size of the total moment (μB per formula unit) = 0.0
- DOS(E_F) (states/eV/f.u.) = 14.475
- SG = C2/m, No. 12

Nd2SmHo4Sc | PBE-GGA | relaxed

```
16
Lattice="11.8963 -0.5449 -2.9877 0.2840 7.0720 -0.1528 -8.6345 -2.9965 8.1784" Properties=species:S:1:pos:R:3 pbc="T T T"
Ho 4.6396 -0.1294 1.8321
Ho 2.9811 1.6224 -0.7318
Sm 0.1420 3.5360 -0.0763
Ho 0.5646 1.9082 5.7698
Ho 0.3973 -1.6443 5.8803
Ho -1.0939 3.6600 3.2058
Ho 3.1486 5.1749 -0.8423
Nd 5.9482 -0.2724 -1.4938
Sc 1.7728 1.7653 2.5190
Sc 3.2618 -3.5414 5.1907
Nd 6.0901 3.2635 -1.5702
Nd 1.6309 -1.7707 2.5953
Ho 4.7551 3.3848 1.7888
Nd -4.3173 -1.4982 4.0892
Ho -1.2094 0.1459 3.2492
Sm 7.7210 1.4929 1.0251
```

Summary:
- calculated formation energy (eV/atom) = 0.0336
- V (A^3/atom) = 31.45
- crystal system = monoclinic
- size of the total moment (μB per formula unit) = 0.0
- DOS(E_F) (states/eV/f.u.) = 11.244
- SG = C2/m, No. 12

NdSm2Ho5Sc | PBE-GGA | relaxed

```
18
Lattice="-4.9015 -0.9013 -2.5113 2.9063 -9.0618 3.7805 -4.9591 2.1288 8.9151" Properties=species:S:1:pos:R:3 pbc="T T T"
Ho -4.5890 -8.5139 5.8116
Nd -1.8858 -6.8905 6.1536
Ho 0.2474 -7.0993 2.0651
Ho -3.2806 -3.8714 1.5918
Ho -0.0814 -0.3007 0.2668
Ho -6.3265 -2.9463 7.2047
Sm -3.5347 -0.6139 7.1193
Sm -1.4590 -1.4604 3.3718
Ho -3.2261 -7.5876 9.0199
Sc 0.1085 -3.7136 1.1211
Ho -3.2232 -4.1562 7.7828
Sm -6.1378 -6.0980 7.9676
Nd -7.1135 -0.0659 7.7070
Ho -4.9113 -1.7182 4.0017
Ho -1.3474 -4.5790 4.2733
Ho -3.6192 -0.2934 0.9685
Sm -3.2587 -7.2895 2.7758
Sc -4.7249 -5.1242 4.8604
```

Summary:
- calculated formation energy (eV/atom) = 0.1640
- V (A^3/atom) = 31.83
- crystal system = orthorhombic
- size of the total moment (μB per formula unit) = 0.0
- DOS(E_F) (states/eV/f.u.) = 12.768
- SG = Cmc2_1, No. 36

Nd4Sm2HoSc | PBE-GGA | relaxed

```
8
Lattice="5.1226 0.0000 0.0000 0.0000 4.9874 1.0667 0.0001 2.8904 10.9031" Properties=species:S:1:pos:R:3 pbc="T T T"
Ho 2.5613 2.4937 0.5334
Nd 2.5614 3.4234 8.4033
Nd 2.5614 4.4543 3.5666
Sm 0.0001 2.8904 10.9031
Nd 5.1226 1.9573 3.0406
Sm 2.5613 1.4452 5.4515
Sc 0.0001 3.9389 5.9850
Nd 0.0001 5.9204 8.9293
```

Summary:
- calculated formation energy (eV/atom) = 0.0287
- V (A^3/atom) = 32.85
- crystal system = orthorhombic
- size of the total moment (μB per formula unit) = 0.0
- DOS(E_F) (states/eV/f.u.) = 11.098
- SG = Pmmm, No. 47

NdSmHo3Sc | PBE-GGA | relaxed

```
12
Lattice="-0.4367 -0.5035 -4.9440 -6.0043 -3.7743 3.4316 -5.4570 8.3466 -0.3680" Properties=species:S:1:pos:R:3 pbc="T T T"
Nd -10.2894 2.2507 0.6796
Sm -2.7285 4.1733 -0.1840
Sm 0.0000 0.0000 0.0000
Ho -6.2135 4.8878 0.0510
Ho -5.0478 2.5617 -2.3320
Sc -3.4644 0.7279 0.2319
Ho -5.6846 -0.8190 -1.9314
Ho -2.3198 -1.6108 -2.1480
Ho -9.5782 5.6797 0.2676
Sc -8.4336 3.3409 -2.1123
Nd -1.6086 1.8181 -2.5600
Ho -6.8503 1.5071 0.4516
```

Summary:
- calculated formation energy (eV/atom) = 0.0399
- V (A^3/atom) = 31.00
- crystal system = orthorhombic
- size of the total moment (μB per formula unit) = 0.0
- DOS(E_F) (states/eV/f.u.) = 9.041
- SG = Cmcm, No. 63

NdSm2Ho4Sc | PBE-GGA | relaxed

```
16
Lattice="-7.3620 5.8347 0.5135 -3.9801 -3.9047 -7.5774 5.7217 -5.2688 8.7338" Properties=species:S:1:pos:R:3 pbc="T T T"
Sm -0.8202 0.2830 4.6236
Sm 2.8608 -2.6344 4.3669
Ho -0.8383 -1.7399 7.3313
Sm -5.6710 0.9650 -3.5320
Ho -0.0561 -2.0699 2.4699
Nd -1.9901 -1.9524 -3.7887
Sc -1.6403 0.5659 9.2473
Nd -6.4912 1.2480 1.0916
Ho -2.0106 -3.9762 -1.0808
Ho -2.7546 0.4020 -1.6336
Sm -3.6810 2.9173 0.2567
Ho -2.8657 -3.7409 3.3035
Ho -5.5643 -1.2690 -0.8000
Ho -4.7822 -1.5989 -5.6614
Sc -2.8102 -1.6695 0.8349
Ho -3.6098 0.6374 2.7508
```

Summary:
- calculated formation energy (eV/atom) = 0.4224
- V (A^3/atom) = 32.32
- crystal system = monoclinic
- size of the total moment (μB per formula unit) = 1.8
- DOS(E_F) (states/eV/f.u.) = 18.039
- SG = C2/c, No. 15